Material: TaMnPt4
Method: DFT, SCAN
State: PBEsol geometry

Structure (POSCAR):
```
TaMnPt4
1.0
5.1425 0.0000 0.0000
2.5713 4.4536 0.0000
2.5713 1.4845 4.1989
Mn Pt Ta
1 4 1
Cartesian
0.0000 0.0000 0.0000
3.8558 2.2261 1.5741
5.1425 2.9690 3.6754
6.4293 2.2261 1.5741
5.1425 4.4548 1.5741
7.7138 4.4536 3.1491
```

Values from the calculation:
As for the crystal system: cubic. The value obtained for the calculated density is 17.55 Mg/m³. Its density of states at the Fermi level is 2.66 states/eV/cell. The value obtained for the total magnetization is 3.970 μB per cell. Its formation energy from the elements is -368 meV/atom. As for the volume: 96 Å³/cell.

=====

Material: LaBe4In
Method: DFT, SCAN
State: PBEsol geometry

Structure (POSCAR):
```
LaBe4In
1.0
-1.4618 4.0313 -2.7299
-3.2787 3.3491 1.9684
1.5872 4.6539 1.2896
Be In La
4 1 1
Cartesian
-1.1493 4.3862 0.1925
-0.2889 6.9090 0.8915
-1.9417 6.5715 -1.2874
-2.9266 6.2017 1.2595
-2.3650 9.0257 0.3960
0.0000 0.0000 0.0000
```

Values from the calculation:
As for the crystal system: cubic. The value obtained for the calculated density is 5.18 Mg/m³. Its density of states at the Fermi level is 1.94 states/eV/cell. The value obtained for the total magnetization is 0.000 μB per cell. Its formation energy from the elements is 334 meV/atom. As for the volume: 93 Å³/cell.

=====

Material: Ta2TlRh
Method: DFT, SCAN
State: PBEsol geometry

Structure (POSCAR):
```
Ta2TlRh
1.0
3.9445 0.0000 0.0000
0.0000 3.9445 0.0000
-1.9722 -1.9722 4.4090
Rh Ta Tl
1 2 1
Cartesian
0.0000 0.0000 0.0000
1.9722 0.0000 2.2045
0.0000 1.9722 2.2045
1.9722 1.9722 0.0000
```

Values from the calculation:
As for the crystal system: tetragonal. The value obtained for the calculated density is 16.20 Mg/m³. Its density of states at the Fermi level is 3.75 states/eV/cell. The value obtained for the total magnetization is 0.000 μB per cell. Its formation energy from the elements is 96 meV/atom. As for the volume: 69 Å³/cell.

=====

Material: CsLiW3
Method: DFT, SCAN
State: PBEsol geometry

Structure (POSCAR):
```
CsLiW3
1.0
4.4671 0.0000 0.0000
0.0000 4.4671 0.0000
0.0000 0.0000 4.4671
Cs W Li
1 3 1
Cartesian
2.2335 2.2335 2.2335
0.0000 2.2335 0.0000
0.0000 0.0000 2.2335
2.2335 0.0000 0.0000
0.0000 0.0000 0.0000
```

Values from the calculation:
As for the crystal system: cubic. The value obtained for the calculated density is 12.88 Mg/m³. Its density of states at the Fermi level is 5.71 states/eV/cell. The value obtained for the total magnetization is 0.000 μB per cell. Its formation energy from the elements is 3004 meV/atom. As for the volume: 89 Å³/cell.

=====

Material: Hg2RuI
Method: DFT, SCAN
State: PBEsol geometry

Structure (POSCAR):
```
Hg2RuI
1.0
4.9540 0.0000 0.0000
2.4770 4.2903 0.0000
2.4770 1.4301 4.0449
I Ru Hg
1 1 2
Cartesian
4.9540 2.8602 2.0225
0.0000 0.0000 0.0000
2.4770 1.4301 1.0112
7.4310 4.2903 3.0337
```

Values from the calculation:
As for the crystal system: cubic. The value obtained for the calculated density is 12.15 Mg/m³. As for the energy: -50.874 eV per atom. Its density of states at the Fermi level is 3.00 states/eV/cell. The value obtained for the total magnetization is 1.508 μB per cell. As for the volume: 86 Å³/cell.

=====

Material: Ca2LaRu
Method: DFT, SCAN
State: PBEsol geometry

Structure (POSCAR):
```
Ca2LaRu
1.0
3.6882 0.0000 0.0000
0.0000 5.7650 -0.0508
-1.8441 -2.8343 5.4900
Ru Ca La
1 2 1
Cartesian
0.0000 2.9033 2.4901
1.8441 2.9257 4.7904
1.8441 0.0253 2.7927
1.8441 2.8896 0.7798
```

Values from the calculation:
As for the crystal system: orthorhombic. The value obtained for the calculated density is 4.57 Mg/m³. Its density of states at the Fermi level is 3.39 states/eV/cell. The value obtained for the total magnetization is 0.041 μB per cell. For the energy above the most stable polymorph in this dataset, the calculation gives 1.4 kJ/mol of atoms. Its formation energy from the elements is -10 meV/atom. As for the volume: 116 Å³/cell.

=====

Material: ScIr4Ru
Method: DFT, SCAN
State: PBEsol geometry

Structure (POSCAR):
```
ScIr4Ru
1.0
-4.5692 -1.3469 1.8535
-1.0673 -4.9285 0.8354
-0.4015 -1.7526 4.7848
Ir Ru Sc
4 1 1
Cartesian
-2.2655 -3.0122 2.8042
-2.4659 -3.8870 5.1926
-4.5463 -3.6845 3.7294
-2.7983 -5.4723 3.2212
-4.5285 -6.0210 5.6052
0.0000 0.0000 0.0000
```

Values from the calculation:
As for the crystal system: cubic. The value obtained for the calculated density is 16.09 Mg/m³. Its density of states at the Fermi level is 6.76 states/eV/cell. The value obtained for the total magnetization is 3.796 μB per cell. Its formation energy from the elements is -128 meV/atom. As for the volume: 94 Å³/cell.

=====

Material: FeSiW
Method: DFT, SCAN
State: PBEsol geometry

Structure (POSCAR):
```
FeSiW
1.0
-1.3814 4.3960 0.7492
-2.6602 -2.6551 -2.7692
-3.9677 -2.2668 5.9849
Fe Si W
4 4 4
Cartesian
-1.5992 3.1950 0.1499
-0.9440 1.0761 -0.2183
-2.8723 1.9067 -1.1820
-4.4541 -2.7414 0.7457
-5.0996 -0.5186 1.1597
-3.1544 -1.3565 2.1319
-3.5804 -3.1065 -1.3171
-5.6775 -4.3046 1.8463
-3.0323 1.3603 1.4360
-2.9479 -0.6871 -0.4974
-5.4773 -2.1322 3.3179
-4.5449 0.4961 3.7177
```

Values from the calculation:
As for the crystal system: orthorhombic. The value obtained for the calculated density is 12.22 Mg/m³. Its density of states at the Fermi level is 7.40 states/eV/cell. The value obtained for the total magnetization is 3.048 μB per cell. For the energy above the most stable polymorph in this dataset, the calculation gives 7.9 kJ/mol of atoms. As for the volume: 146 Å³/cell.

=====

Material: BaIn2GaHg
Method: DFT, SCAN
State: PBEsol geometry

Structure (POSCAR):
```
BaIn2GaHg
1.0
5.0387 0.0000 0.0000
0.0000 5.6395 0.0000
0.0000 0.0000 5.6395
In Hg Ga Ba
2 1 1 1
Cartesian
0.0000 0.0000 2.8197
0.0000 2.8197 0.0000
0.0000 0.0000 0.0000
2.5193 0.0000 0.0000
2.5193 2.8197 2.8197
```

Values from the calculation:
As for the crystal system: tetragonal. The value obtained for the calculated density is 6.60 Mg/m³. Its density of states at the Fermi level is 3.44 states/eV/cell. The value obtained for the total magnetization is 0.000 μB per cell. Its formation energy from the elements is -14 meV/atom. As for the volume: 160 Å³/cell.

=====

Material: CaHgO2F
Method: DFT, SCAN
State: PBEsol geometry

Structure (POSCAR):
```
CaHgO2F
1.0
-3.4938 -1.9261 -1.2758
1.8708 -3.8644 0.7109
-1.5040 0.0231 4.0836
Ca Hg O F
1 1 2 1
Cartesian
0.0000 0.0000 0.0000
-1.5635 -2.8837 1.7593
-0.7520 0.0116 2.0418
0.9354 -1.9322 0.3554
-1.7469 -0.9630 -0.6379
```

Values from the calculation:
As for the crystal system: tetragonal. The value obtained for the calculated density is 6.11 Mg/m³. As for the energy: -19.957 eV per atom. Its density of states at the Fermi level is 1.47 states/eV/cell. The value obtained for the total magnetization is 1.199 μB per cell. As for the volume: 79 Å³/cell.

=====

Material: KCo3
Method: DFT, SCAN
State: PBEsol geometry

Structure (POSCAR):
```
KCo3
1.0
-1.8526 -1.4342 -1.0966
-0.5847 -0.1311 4.2104
-3.6752 5.4394 -0.9052
Co K
3 1
Cartesian
-2.7639 2.0026 -1.0009
-3.1056 0.8027 1.1456
-3.0069 3.0713 1.0629
0.0000 0.0000 0.0000
```

Values from the calculation:
As for the crystal system: monoclinic. The value obtained for the calculated density is 5.18 Mg/m³. Its density of states at the Fermi level is 2.71 states/eV/cell. The value obtained for the total magnetization is 5.403 μB per cell. For the energy above the most stable polymorph in this dataset, the calculation gives 0.2 kJ/mol of atoms. Its formation energy from the elements is 692 meV/atom. As for the volume: 69 Å³/cell.

=====

Material: TiBe3Ni
Method: DFT, SCAN
State: PBEsol geometry

Structure (POSCAR):
```
TiBe3Ni
1.0
3.8436 0.0000 0.0000
0.0000 3.8436 0.0000
0.0000 0.0000 3.8436
Ni Be Ti
1 3 1
Cartesian
0.0000 0.0000 0.0000
0.0000 1.9218 0.0000
0.0000 0.0000 1.9218
1.9218 0.0000 0.0000
1.9218 1.9218 1.9218
```

Values from the calculation:
As for the crystal system: cubic. The value obtained for the calculated density is 3.91 Mg/m³. Its density of states at the Fermi level is 1.21 states/eV/cell. The value obtained for the total magnetization is 0.000 μB per cell. Its formation energy from the elements is 67 meV/atom. As for the volume: 57 Å³/cell.

=====

Material: MgInCl2
Method: DFT, SCAN
State: PBEsol geometry

Structure (POSCAR):
```
MgInCl2
1.0
-0.7034 -1.0570 6.3739
-4.4331 -3.6948 -2.9890
6.1937 -1.3549 -1.4283
Mg Cl In
2 4 2
Cartesian
0.8803 -2.5249 -2.2087
3.1853 -2.4684 1.3684
-2.1924 -3.0662 3.9928
2.8095 -1.7781 -0.9319
0.8510 -2.6605 2.0190
0.6464 -4.7087 -1.1669
0.0000 0.0000 0.0000
-2.1281 -3.6383 0.5881
```

Values from the calculation:
As for the crystal system: tetragonal. The value obtained for the calculated density is 3.33 Mg/m³. Its density of states at the Fermi level is 3.29 states/eV/cell. The value obtained for the total magnetization is 0.000 μB per cell. For the energy above the most stable polymorph in this dataset, the calculation gives 35.2 kJ/mol of atoms. As for the volume: 210 Å³/cell.

=====

Material: Tl2CrRe
Method: DFT, SCAN
State: PBEsol geometry

Structure (POSCAR):
```
Tl2CrRe
1.0
-1.3885 -1.6168 2.2885
0.4418 -3.0877 0.2232
6.9243 -0.1420 6.2373
Cr Re Tl
1 1 2
Cartesian
3.2799 -2.3659 4.5916
4.1246 -3.7055 6.2942
6.7515 -0.1761 6.1083
1.7349 -1.1643 2.3666
```

Values from the calculation:
As for the crystal system: trigonal. The value obtained for the calculated density is 13.87 Mg/m³. Its density of states at the Fermi level is 2.39 states/eV/cell. The value obtained for the total magnetization is 0.000 μB per cell. For the energy above the most stable polymorph in this dataset, the calculation gives 0.0 kJ/mol of atoms. Its formation energy from the elements is 601 meV/atom. As for the volume: 77 Å³/cell.

=====

Material: CdP2Pb
Method: DFT, SCAN
State: PBEsol geometry

Structure (POSCAR):
```
CdP2Pb
1.0
3.2618 0.0000 0.0000
0.0000 5.3522 -0.1015
-1.6309 -2.5536 4.8669
Cd P Pb
1 2 1
Cartesian
0.0000 2.7483 2.6477
0.0000 0.0113 0.3216
1.6309 0.0384 1.8562
0.0000 0.1231 4.7561
```

Values from the calculation:
As for the crystal system: monoclinic. The value obtained for the calculated density is 7.53 Mg/m³. Its density of states at the Fermi level is 1.14 states/eV/cell. The value obtained for the total magnetization is 0.000 μB per cell. Its formation energy from the elements is 225 meV/atom. As for the volume: 84 Å³/cell.

=====

Material: CdFeBr2
Method: DFT, SCAN
State: PBEsol geometry

Structure (POSCAR):
```
CdFeBr2
1.0
-2.4292 1.4052 1.6874
1.3481 -1.0321 2.8001
4.2330 6.7690 0.4571
Br Cd Fe
2 1 1
Cartesian
3.9055 6.2452 0.4217
0.7277 2.2146 2.3807
2.2014 3.5203 0.2377
2.6668 5.3154 2.5901
```

Values from the calculation:
As for the crystal system: tetragonal. The value obtained for the calculated density is 6.35 Mg/m³. Its density of states at the Fermi level is 2.11 states/eV/cell. The value obtained for the total magnetization is 3.453 μB per cell. For the energy above the most stable polymorph in this dataset, the calculation gives 14.5 kJ/mol of atoms. As for the volume: 86 Å³/cell.

=====

Material: Cu2OsW
Method: DFT, SCAN
State: PBEsol geometry

Structure (POSCAR):
```
Cu2OsW
1.0
-1.4462 2.7834 -0.3464
-0.7365 -0.7529 -2.9748
-4.5024 -2.1334 1.6547
Cu Os W
2 1 1
Cartesian
-3.3923 -1.6074 1.2467
-1.1101 -0.5260 0.4080
-1.0914 1.0153 -1.6606
-3.3425 -0.0514 -0.8333
```

Values from the calculation:
As for the crystal system: tetragonal. The value obtained for the calculated density is 15.92 Mg/m³. Its density of states at the Fermi level is 2.56 states/eV/cell. The value obtained for the total magnetization is 0.000 μB per cell. For the energy above the most stable polymorph in this dataset, the calculation gives 25.1 kJ/mol of atoms. Its formation energy from the elements is 531 meV/atom. As for the volume: 52 Å³/cell.

=====

Material: KCr2Fe
Method: DFT, SCAN
State: PBEsol geometry

Structure (POSCAR):
```
KCr2Fe
1.0
2.6011 0.0198 0.0000
-0.9903 2.4053 0.0000
0.0000 0.0000 9.4240
Cr Fe K
2 1 1
Cartesian
0.0000 0.0000 8.8252
0.8054 1.2125 7.0950
0.0000 0.0000 5.2383
0.8054 1.2125 2.4015
```

Values from the calculation:
As for the crystal system: orthorhombic. The value obtained for the calculated density is 5.59 Mg/m³. Its density of states at the Fermi level is 3.58 states/eV/cell. The value obtained for the total magnetization is 2.414 μB per cell. For the energy above the most stable polymorph in this dataset, the calculation gives 14.3 kJ/mol of atoms. Its formation energy from the elements is 926 meV/atom. As for the volume: 59 Å³/cell.

=====

Material: Li2MnPO5
Method: DFT, SCAN
State: PBEsol geometry

Structure (POSCAR):
```
Li2MnPO5
1.0
-2.4072 -4.2596 2.3263
2.6760 0.8391 4.6353
-4.5129 2.3281 4.7942
Li Mn P O
4 2 2 10
Cartesian
-2.1732 1.8160 6.4151
-2.2331 -1.6714 2.9659
-2.0111 0.5789 8.7900
-2.0710 -2.9085 5.3407
0.0000 0.0000 0.0000
-2.2564 1.1640 2.3971
-3.8945 -0.6104 6.7838
-0.3497 -0.4821 4.9720
-5.2724 -0.9075 7.4666
-2.8068 -0.8853 7.8258
-1.1515 2.1410 8.0298
-0.4929 0.4592 6.2156
-3.8204 0.8299 6.2696
-0.4238 -1.9224 5.4862
-3.7513 -1.5517 5.5402
-3.0927 -3.2334 3.7260
-1.4373 -0.2072 3.9301
1.0283 -0.1849 4.2892
```

Values from the calculation:
As for the crystal system: monoclinic. The value obtained for the calculated density is 3.26 Mg/m³. As for the energy: -9.596 eV per atom. The value obtained for the total magnetization is 8.000 μB per cell. As for the volume: 183 Å³/cell.

=====

Material: LaScCd4
Method: DFT, SCAN
State: PBEsol geometry

Structure (POSCAR):
```
LaScCd4
1.0
-4.7851 -3.2425 0.5357
-1.2366 -2.5329 5.0747
-4.4594 1.9112 3.1874
Sc Cd La
1 4 1
Cartesian
0.0000 0.0000 0.0000
-3.9267 -1.4477 3.2961
-6.1627 -0.4894 4.8943
-6.3260 -3.0736 3.5647
-4.5468 -2.7177 5.8406
-7.8608 -2.8981 6.5984
```

Values from the calculation:
As for the crystal system: cubic. The value obtained for the calculated density is 7.61 Mg/m³. Its density of states at the Fermi level is 3.92 states/eV/cell. The value obtained for the total magnetization is 0.000 μB per cell. Its formation energy from the elements is -331 meV/atom. As for the volume: 138 Å³/cell.